No. 1
NaCdPdAu | GGA-PBE | relaxed

The structure in POSCAR format:
```
NaCdPdAu
1.0
6.689 0.000 0.000
0.000 6.689 0.000
0.000 0.000 6.689
Na Cd Pd Au
4 4 4 4
direct
0.000 0.000 0.000
0.000 0.500 0.500
0.500 0.000 0.500
0.500 0.500 0.000
0.000 0.000 0.500
0.000 0.500 0.000
0.500 0.000 0.000
0.500 0.500 0.500
0.250 0.250 0.750
0.250 0.750 0.250
0.750 0.250 0.250
0.750 0.750 0.750
0.250 0.250 0.250
0.250 0.750 0.750
0.750 0.250 0.750
0.750 0.750 0.250
```

Properties
Symmetry: No. 216
Energy relative to the lowest polymorph listed for this composition (meV/atom): 0.0
Theoretical density (g/cm3): 9.74
Raw total energy (eV per atom): -2.888
Energy of formation from the pure elements (eV per atom): -0.212


No. 2
NaPm2CdAu4 | GGA-PBE | relaxed

The structure in POSCAR format:
```
NaPm2CdAu4
1.0
2.535 1.464 8.175
-2.535 1.464 8.175
0.000 -2.928 8.175
Na Pm Cd Au
1 2 1 4
direct
0.000 0.000 0.000
0.247 0.247 0.247
0.753 0.753 0.753
0.500 0.500 0.500
0.123 0.123 0.123
0.375 0.375 0.375
0.625 0.625 0.625
0.877 0.877 0.877
```

Properties
Symmetry: No. 166
Theoretical density (g/cm3): 11.07
Raw total energy (eV per atom): -3.726
Energy of formation from the pure elements (eV per atom): -0.621


No. 3
NaCdPtAu | GGA-PBE | relaxed

The structure in POSCAR format:
```
NaCdPtAu
1.0
6.674 0.000 0.000
0.000 6.674 0.000
0.000 0.000 6.674
Na Cd Pt Au
4 4 4 4
direct
0.000 0.000 0.000
0.000 0.500 0.500
0.500 0.000 0.500
0.500 0.500 0.000
0.250 0.250 0.750
0.250 0.750 0.250
0.750 0.250 0.250
0.750 0.750 0.750
0.000 0.000 0.500
0.000 0.500 0.000
0.500 0.000 0.000
0.500 0.500 0.500
0.250 0.250 0.250
0.250 0.750 0.750
0.750 0.250 0.750
0.750 0.750 0.250
```

Properties
Symmetry: No. 216
Theoretical density (g/cm3): 11.79
Raw total energy (eV per atom): -3.096
Energy of formation from the pure elements (eV per atom): -0.208


No. 4
Na2Cd5PtAu2 | GGA-PBE | relaxed

The structure in POSCAR format:
```
Na2Cd5PtAu2
1.0
11.448 0.000 0.000
0.000 11.448 0.000
0.000 0.000 3.442
Na Cd Pt Au
4 10 2 4
direct
0.173 0.327 0.000
0.327 0.827 0.000
0.673 0.173 0.000
0.827 0.673 0.000
0.000 0.500 0.500
0.060 0.816 0.500
0.184 0.060 0.500
0.316 0.560 0.500
0.440 0.316 0.500
0.500 0.000 0.500
0.560 0.684 0.500
0.684 0.440 0.500
0.816 0.940 0.500
0.940 0.184 0.500
0.000 0.000 0.000
0.500 0.500 0.000
0.136 0.636 0.000
0.364 0.136 0.000
0.636 0.864 0.000
0.864 0.364 0.000
```

Properties
Symmetry: No. 127
Theoretical density (g/cm3): 8.81
Raw total energy (eV per atom): -2.204
Energy of formation from the pure elements (eV per atom): -0.223


No. 5
NaPuCdAu | GGA-PBE | relaxed

The structure in POSCAR format:
```
NaPuCdAu
1.0
7.343 0.000 0.000
0.000 7.343 0.000
0.000 0.000 7.343
Na Pu Cd Au
4 4 4 4
direct
0.000 0.000 0.000
0.000 0.500 0.500
0.500 0.000 0.500
0.500 0.500 0.000
0.000 0.000 0.500
0.000 0.500 0.000
0.500 0.000 0.000
0.500 0.500 0.500
0.250 0.250 0.250
0.250 0.750 0.750
0.750 0.250 0.750
0.750 0.750 0.250
0.250 0.250 0.750
0.250 0.750 0.250
0.750 0.250 0.250
0.750 0.750 0.750
```

Properties
Symmetry: No. 216
Theoretical density (g/cm3): 9.67
Raw total energy (eV per atom): -5.052
Energy of formation from the pure elements (eV per atom): -0.091


No. 6
RbNaCdAu2 | GGA-PBE | relaxed

The structure in POSCAR format:
```
RbNaCdAu2
1.0
4.768 0.000 0.000
0.000 4.768 0.000
0.000 0.000 12.489
Rb Na Cd Au
2 2 2 4
direct
0.000 0.000 0.000
0.500 0.500 0.500
0.000 0.500 0.250
0.500 0.000 0.750
0.000 0.500 0.750
0.500 0.000 0.250
0.000 0.000 0.388
0.000 0.000 0.612
0.500 0.500 0.112
0.500 0.500 0.888
```

Properties
Symmetry: No. 119
Theoretical density (g/cm3): 7.19
Raw total energy (eV per atom): -2.241
Energy of formation from the pure elements (eV per atom): -0.290


No. 7
RbNaCdAu | GGA-PBE | relaxed

The structure in POSCAR format:
```
RbNaCdAu
1.0
8.059 0.000 0.000
0.000 8.059 0.000
0.000 0.000 8.059
Rb Na Cd Au
4 4 4 4
direct
0.000 0.000 0.000
0.000 0.500 0.500
0.500 0.000 0.500
0.500 0.500 0.000
0.000 0.000 0.500
0.000 0.500 0.000
0.500 0.000 0.000
0.500 0.500 0.500
0.250 0.250 0.250
0.250 0.750 0.750
0.750 0.250 0.750
0.750 0.750 0.250
0.250 0.250 0.750
0.250 0.750 0.250
0.750 0.250 0.250
0.750 0.750 0.750
```

Properties
Symmetry: No. 216
Energy relative to the lowest polymorph listed for this composition (meV/atom): 137.9
Theoretical density (g/cm3): 5.30
Raw total energy (eV per atom): -1.686
Energy of formation from the pure elements (eV per atom): -0.066


No. 8
RbNaCd2Au | GGA-PBE | relaxed

The structure in POSCAR format:
```
RbNaCd2Au
1.0
5.441 0.000 0.000
0.000 5.441 0.000
0.000 0.000 6.338
Rb Na Cd Au
1 1 2 1
direct
0.000 0.000 0.000
0.500 0.500 0.000
0.000 0.500 0.500
0.500 0.000 0.500
0.000 0.000 0.500
```

Properties
Symmetry: No. 123
Energy relative to the lowest polymorph listed for this composition (meV/atom): 132.6
Theoretical density (g/cm3): 4.69
Raw total energy (eV per atom): -1.509
Energy of formation from the pure elements (eV per atom): -0.030


No. 9
RbNa2Cd2Au2 | GGA-PBE | relaxed

The structure in POSCAR format:
```
RbNa2Cd2Au2
1.0
2.455 1.417 10.026
-2.455 1.417 10.026
0.000 -2.835 10.026
Rb Na Cd Au
1 2 2 2
direct
0.000 0.000 0.000
0.134 0.134 0.134
0.866 0.866 0.866
0.248 0.248 0.248
0.752 0.752 0.752
0.423 0.423 0.423
0.577 0.577 0.577
```

Properties
Symmetry: No. 166
Theoretical density (g/cm3): 5.95
Raw total energy (eV per atom): -1.919
Energy of formation from the pure elements (eV per atom): -0.206


No. 10
RbNa5CdAu2 | GGA-PBE | relaxed

The structure in POSCAR format:
```
RbNa5CdAu2
1.0
5.565 0.000 0.000
0.000 5.565 0.000
0.000 0.000 11.155
Rb Na Cd Au
1 5 1 2
direct
0.000 0.000 0.000
0.000 0.500 0.330
0.000 0.500 0.670
0.500 0.000 0.330
0.500 0.000 0.670
0.500 0.500 0.000
0.500 0.500 0.500
0.500 0.500 0.250
0.500 0.500 0.750
```

Properties
Symmetry: No. 123
Theoretical density (g/cm3): 3.40
Raw total energy (eV per atom): -1.784
Energy of formation from the pure elements (eV per atom): -0.114


No. 11
RbNaCd2Au | GGA-PBE | relaxed

The structure in POSCAR format:
```
RbNaCd2Au
1.0
4.722 0.000 0.000
0.000 5.050 0.000
0.000 0.000 12.866
Rb Na Cd Au
2 2 4 2
direct
0.000 0.000 0.000
0.500 0.500 0.500
0.000 0.500 0.730
0.500 0.000 0.230
0.000 0.000 0.389
0.000 0.500 0.242
0.500 0.000 0.742
0.500 0.500 0.889
0.000 0.000 0.607
0.500 0.500 0.107
```

Properties
Symmetry: No. 44
Energy relative to the lowest polymorph listed for this composition (meV/atom): 0.0
Theoretical density (g/cm3): 5.74
Raw total energy (eV per atom): -1.642
Energy of formation from the pure elements (eV per atom): -0.163


No. 12
RbNaCdAu | GGA-PBE | relaxed

The structure in POSCAR format:
```
RbNaCdAu
1.0
8.649 0.000 0.000
0.000 4.997 0.000
-2.905 0.000 6.389
Rb Na Cd Au
2 2 2 2
direct
0.000 0.000 0.000
0.500 0.500 0.000
0.307 0.500 0.423
0.807 0.000 0.423
0.036 0.500 0.611
0.536 0.000 0.611
0.199 0.000 0.600
0.699 0.500 0.600
```

Properties
Symmetry: No. 8
Energy relative to the lowest polymorph listed for this composition (meV/atom): 0.0
Theoretical density (g/cm3): 5.03
Raw total energy (eV per atom): -1.823
Energy of formation from the pure elements (eV per atom): -0.204


No. 13
Rb2NaCd4Au3 | GGA-PBE | relaxed

The structure in POSCAR format:
```
Rb2NaCd4Au3
1.0
4.899 0.000 0.000
0.000 4.899 0.000
0.000 0.000 12.092
Rb Na Cd Au
2 1 4 3
direct
0.000 0.500 0.239
0.500 0.000 0.761
0.000 0.000 0.500
0.000 0.000 0.000
0.000 0.500 0.643
0.500 0.000 0.357
0.500 0.500 0.000
0.000 0.500 0.876
0.500 0.000 0.124
0.500 0.500 0.500
```

Properties
Symmetry: No. 115
Theoretical density (g/cm3): 7.06
Raw total energy (eV per atom): -1.870
Energy of formation from the pure elements (eV per atom): -0.195


No. 14
RbNaCd2Au2 | GGA-PBE | relaxed

The structure in POSCAR format:
```
RbNaCd2Au2
1.0
4.910 0.000 0.000
-2.455 4.252 0.000
0.000 0.000 8.259
Rb Na Cd Au
1 1 2 2
direct
0.000 0.000 0.000
0.000 0.000 0.500
0.333 0.667 0.323
0.667 0.333 0.677
0.333 0.667 0.688
0.667 0.333 0.312
```

Properties
Symmetry: No. 164
Theoretical density (g/cm3): 7.00
Raw total energy (eV per atom): -2.043
Energy of formation from the pure elements (eV per atom): -0.265


No. 15
Rb2NaCd3Au4 | GGA-PBE | relaxed

The structure in POSCAR format:
```
Rb2NaCd3Au4
1.0
5.020 0.000 0.000
0.000 5.020 0.000
0.000 0.000 11.300
Rb Na Cd Au
2 1 3 4
direct
0.000 0.500 0.237
0.500 0.000 0.763
0.000 0.000 0.500
0.000 0.500 0.884
0.500 0.000 0.116
0.500 0.500 0.500
0.000 0.000 0.000
0.000 0.500 0.635
0.500 0.000 0.365
0.500 0.500 0.000
```

Properties
Symmetry: No. 115
Theoretical density (g/cm3): 7.69
Raw total energy (eV per atom): -2.149
Energy of formation from the pure elements (eV per atom): -0.238


No. 16
Rb2NaCd6Au | GGA-PBE | relaxed

The structure in POSCAR format:
```
Rb2NaCd6Au
1.0
0.000 5.725 5.725
5.725 0.000 5.725
5.725 5.725 0.000
Rb Na Cd Au
2 1 6 1
direct
0.250 0.250 0.250
0.750 0.750 0.750
0.000 0.000 0.000
0.259 0.259 0.741
0.259 0.741 0.259
0.259 0.741 0.741
0.741 0.259 0.259
0.741 0.259 0.741
0.741 0.741 0.259
0.500 0.500 0.500
```

Properties
Symmetry: No. 225
Theoretical density (g/cm3): 4.71
Raw total energy (eV per atom): -1.166
Energy of formation from the pure elements (eV per atom): 0.036


No. 17
RbNaCd2Au | GGA-PBE | relaxed

The structure in POSCAR format:
```
RbNaCd2Au
1.0
5.430 0.000 0.000
0.000 5.430 0.000
0.000 0.000 5.718
Rb Na Cd Au
1 1 2 1
direct
0.000 0.000 0.000
0.500 0.500 0.000
0.000 0.500 0.500
0.500 0.000 0.500
0.500 0.500 0.500
```

Properties
Symmetry: No. 123
Energy relative to the lowest polymorph listed for this composition (meV/atom): 13.8
Theoretical density (g/cm3): 5.22
Raw total energy (eV per atom): -1.628
Energy of formation from the pure elements (eV per atom): -0.149


No. 18
NaCdAuS2 | GGA-PBE | relaxed

The structure in POSCAR format:
```
NaCdAuS2
1.0
5.551 0.000 0.000
0.000 6.255 0.000
0.000 0.000 7.131
Na Cd Au S
2 2 2 4
direct
0.000 0.000 0.250
0.000 0.000 0.750
0.500 0.500 0.250
0.500 0.500 0.750
0.500 0.000 0.000
0.500 0.000 0.500
0.243 0.295 0.000
0.243 0.705 0.500
0.757 0.295 0.500
0.757 0.705 0.000
```

Properties
Symmetry: No. 49
Theoretical density (g/cm3): 5.32
ΔE_f (raw) (eV/atom): -0.626
Raw total energy (eV per atom): -3.380


No. 19
NaCdAuSe2 | GGA-PBE | relaxed

The structure in POSCAR format:
```
NaCdAuSe2
1.0
5.559 0.000 0.000
0.000 6.650 0.000
-0.006 0.000 7.396
Na Cd Au Se
2 2 2 4
direct
0.000 0.001 0.250
0.000 0.999 0.750
0.500 0.499 0.250
0.500 0.501 0.750
0.500 0.000 0.000
0.500 0.000 0.500
0.234 0.296 0.000
0.234 0.704 0.500
0.766 0.296 0.500
0.766 0.704 0.000
```

Properties
Symmetry: No. 13
Theoretical density (g/cm3): 5.95
ΔE_f (raw) (eV/atom): -0.615
Raw total energy (eV per atom): -3.111


No. 20
NaCd2AuSe | GGA-PBE | relaxed

The structure in POSCAR format:
```
NaCd2AuSe
1.0
5.409 0.000 0.000
0.000 5.409 0.000
0.000 0.000 5.370
Na Cd Au Se
1 2 1 1
direct
0.000 0.000 0.000
0.000 0.500 0.500
0.500 0.000 0.500
0.500 0.500 0.000
0.000 0.000 0.500
```

Properties
Symmetry: No. 123
Theoretical density (g/cm3): 5.54
ΔE_f (raw) (eV/atom): 0.007
Raw total energy (eV per atom): -1.975


No. 21
NaSmCdAu | GGA-PBE | relaxed

The structure in POSCAR format:
```
NaSmCdAu
1.0
7.291 0.000 0.000
0.000 7.291 0.000
0.000 0.000 7.291
Na Sm Cd Au
4 4 4 4
direct
0.000 0.000 0.000
0.000 0.500 0.500
0.500 0.000 0.500
0.500 0.500 0.000
0.000 0.000 0.500
0.000 0.500 0.000
0.500 0.000 0.000
0.500 0.500 0.500
0.250 0.250 0.750
0.250 0.750 0.250
0.750 0.250 0.250
0.750 0.750 0.750
0.250 0.250 0.250
0.250 0.750 0.750
0.750 0.250 0.750
0.750 0.750 0.250
```

Properties
Symmetry: No. 216
Theoretical density (g/cm3): 8.27
Raw total energy (eV per atom): -2.914
Energy of formation from the pure elements (eV per atom): -0.356


No. 22
NaSm2CdAu4 | GGA-PBE | relaxed

The structure in POSCAR format:
```
NaSm2CdAu4
1.0
2.526 1.458 8.153
-2.526 1.458 8.153
0.000 -2.916 8.153
Na Sm Cd Au
1 2 1 4
direct
0.000 0.000 0.000
0.248 0.248 0.248
0.752 0.752 0.752
0.500 0.500 0.500
0.124 0.124 0.124
0.375 0.375 0.375
0.625 0.625 0.625
0.876 0.876 0.876
```

Properties
Symmetry: No. 166
Theoretical density (g/cm3): 11.28
Raw total energy (eV per atom): -3.719
Energy of formation from the pure elements (eV per atom): -0.621


No. 23
NaCdSnAu | GGA-PBE | relaxed

The structure in POSCAR format:
```
NaCdSnAu
1.0
8.287 0.000 0.000
0.000 4.772 0.000
-2.799 0.000 4.992
Na Cd Sn Au
2 2 2 2
direct
0.000 0.000 0.000
0.500 0.500 0.000
0.223 0.000 0.669
0.723 0.500 0.669
0.289 0.500 0.364
0.789 0.000 0.364
0.420 0.000 0.260
0.920 0.500 0.260
```

Properties
Symmetry: No. 8
Theoretical density (g/cm3): 7.59
Raw total energy (eV per atom): -2.549
Energy of formation from the pure elements (eV per atom): -0.170


No. 24
Na2Cd5SnAu2 | GGA-PBE | relaxed

The structure in POSCAR format:
```
Na2Cd5SnAu2
1.0
10.565 0.000 0.000
0.000 10.565 0.000
0.000 0.000 4.302
Na Cd Sn Au
4 10 2 4
direct
0.173 0.327 0.000
0.327 0.827 0.000
0.673 0.173 0.000
0.827 0.673 0.000
0.000 0.500 0.500
0.067 0.796 0.500
0.204 0.067 0.500
0.296 0.567 0.500
0.433 0.296 0.500
0.500 0.000 0.500
0.567 0.704 0.500
0.704 0.433 0.500
0.796 0.933 0.500
0.933 0.204 0.500
0.000 0.000 0.000
0.500 0.500 0.000
0.125 0.625 0.000
0.375 0.125 0.000
0.625 0.875 0.000
0.875 0.375 0.000
```

Properties
Symmetry: No. 127
Theoretical density (g/cm3): 7.75
Raw total energy (eV per atom): -1.938
Energy of formation from the pure elements (eV per atom): -0.161


No. 25
Na2CdSn4Au3 | GGA-PBE | relaxed

The structure in POSCAR format:
```
Na2CdSn4Au3
1.0
4.577 0.000 0.000
0.000 4.577 0.000
0.000 0.000 12.266
Na Cd Sn Au
2 1 4 3
direct
0.000 0.500 0.249
0.500 0.000 0.751
0.500 0.500 0.000
0.000 0.000 0.500
0.000 0.500 0.858
0.500 0.000 0.142
0.500 0.500 0.500
0.000 0.000 0.000
0.000 0.500 0.639
0.500 0.000 0.361
```

Properties
Symmetry: No. 115
Theoretical density (g/cm3): 7.91
Raw total energy (eV per atom): -3.133
Energy of formation from the pure elements (eV per atom): -0.194